Material: Ti2CdCu
Method: DFT, PBE-GGA
State: optimized geometry

Cell: 3.9284 3.9284 6.2726 Å, 71.75 71.75 60.00°
With the nearest neighbours (Å) after each atom.
Fractional coordinates of all 4 atoms:
Ti 0.0600 0.0600 0.8200  3 Cu 2.52
Ti 0.2774 0.2774 0.1679  3 Cu 2.45
Cd 0.4987 0.4987 0.5038  1 Cu 2.90, 6 Ti 2.93-3.00
Cu 0.6639 0.6639 0.0083  6 Ti 2.45-2.52

Electronic total energy (eV per formula unit): -19.14
Space group: No. 160
DFT formation energy (eV per atom): 0.414
Calculated volume (Å³/atom): 19.540